A crystal of Mg2Zn relaxed with PBEsol. Source: the Alexandria database, functional meta-GGA SCAN.

```
6
Lattice="5.288 0.000 0.000 2.644 4.685 0.000 2.644 0.000 4.685" Properties=species:S:1:pos:R:3 pbc="T T T"
Mg 5.288 2.342 3.872
Mg 7.933 3.872 2.342
Mg 5.288 2.342 0.813
Mg 2.644 0.813 2.342
Zn 1.322 0.000 0.000
Zn 3.966 0.000 0.000
```

E   -0.292 hartree per atom
Energy of formation   -137 meV/atom

A crystal of Al2TcCl relaxed with PBEsol. Source: the Alexandria database, functional meta-GGA SCAN.

```
4
Lattice="3.027 0.000 0.000 1.514 2.622 0.000 1.514 0.874 7.851" Properties=species:S:1:pos:R:3 pbc="T T T"
Cl 3.027 1.748 3.925
Al 1.514 0.874 1.845
Al 4.541 2.622 6.006
Tc 0.000 0.000 0.000
```

E   -0.551 hartree per atom
Formation energy from raw total energies   -0.3610 eV/atom
Offset from the most stable computed form   162 meV/atom